Record 1
{"formula": "Pr2Al2In", "functional": "GGA-PBE", "state": "optimized geometry", "space_group": "P4/mbm, No. 127", "formation_energy_mev_per_atom": -440, "dft_energy_ev_per_cell": -43.97, "lattice": [[7.440, 0.000, 0.000], [0.000, 7.440, 0.000], [0.000, 0.000, 4.771]], "species": ["Pr", "Pr", "Pr", "Pr", "Al", "Al", "Al", "Al", "In", "In"], "frac_coords": [[0.172, 0.328, 0.000], [0.328, 0.828, 0.000], [0.672, 0.172, 0.000], [0.828, 0.672, 0.000], [0.126, 0.626, 0.500], [0.374, 0.126, 0.500], [0.626, 0.874, 0.500], [0.874, 0.374, 0.500], [0.000, 0.000, 0.500], [0.500, 0.500, 0.500]]}

Record 2
{"formula": "Pr2Al3In", "functional": "GGA-PBE", "state": "optimized geometry", "space_group": "Fmmm, No. 69", "formation_energy_mev_per_atom": -462, "dft_energy_ev_per_cell": -52.59, "lattice": [[0.000, 4.691, 8.120], [3.840, 0.000, 8.120], [3.840, 4.691, 0.000]], "species": ["Pr", "Pr", "Pr", "Pr", "Al", "Al", "Al", "Al", "Al", "Al", "In", "In"], "frac_coords": [[0.250, 0.250, 0.250], [0.250, 0.750, 0.750], [0.750, 0.250, 0.250], [0.750, 0.750, 0.750], [0.163, 0.163, 0.837], [0.163, 0.674, 0.326], [0.326, 0.837, 0.163], [0.674, 0.163, 0.837], [0.837, 0.326, 0.674], [0.837, 0.837, 0.163], [0.333, 0.333, 0.667], [0.667, 0.667, 0.333]]}

Record 3
{"formula": "PrAlIn", "functional": "GGA-PBE", "state": "optimized geometry", "space_group": "Imma, No. 74", "formation_energy_mev_per_atom": -457, "dft_energy_ev_per_cell": -50.53, "lattice": [[4.796, 0.000, 0.000], [0.000, 7.698, 0.000], [0.000, 0.000, 8.269]], "species": ["Pr", "Pr", "Pr", "Pr", "Al", "Al", "Al", "Al", "In", "In", "In", "In"], "frac_coords": [[0.000, 0.000, 0.000], [0.000, 0.500, 0.000], [0.500, 0.000, 0.500], [0.500, 0.500, 0.500], [0.000, 0.250, 0.321], [0.000, 0.750, 0.679], [0.500, 0.250, 0.179], [0.500, 0.750, 0.821], [0.000, 0.250, 0.654], [0.000, 0.750, 0.346], [0.500, 0.250, 0.846], [0.500, 0.750, 0.154]]}

no.,mass density (g/cm³)
1,5.667
2,5.422
3,6.152